Record 1
Compound: Mn2CuCl8
Source: Alexandria via LeMat-Bulk
Functional: PBE-GGA
Structure: optimized geometry

a b c (Å): 11.5638 9.2227 6.1562
angles (deg): 90.00 97.44 90.00
Last column: nearest neighbours and their distance in Å.
Space group C2/m (No. 12)
One atom of each set of equivalent atoms:
Mn  0.1954  0.0000  0.1719 [4 per cell]  4 Cl 2.14-2.24
Cu  0.0000  0.0000  0.5000 [2 per cell]  6 Cl 2.40-2.65
Cl  0.0997  0.1814  0.3142 [8 per cell]  1 Mn 2.24, 1 Cu 2.40
Cl  0.1183  0.5000  0.7546 [4 per cell]  1 Mn 2.14
Cl  0.1799  0.0000  0.8130 [4 per cell]  1 Mn 2.19

Summary:
- Fermi-level density of states: 6.27 states/eV/f.u.
- Energy relative to the lowest polymorph listed for this composition: 0.000 eV per atom
- Raw formation energy: -0.73 eV per atom

---

Record 2
Compound: Mn2CuCl
Source: Alexandria via LeMat-Bulk
Functional: PBE-GGA
Structure: optimized geometry

a b c (Å): 3.6037 3.6037 10.1237
angles (deg): 90.00 90.00 90.00
Last column: nearest neighbours and their distance in Å.
Space group I-4m2 (No. 119)
One atom of each set of equivalent atoms:
Mn  0.0000  0.0000  0.0000 [2 per cell]  4 Cu 2.55
Mn  0.0000  0.5000  0.2500 [2 per cell]  4 Cl 2.55
Cu  0.0000  0.0000  0.5000 [2 per cell]  4 Mn 2.55
Cl  0.0000  0.5000  0.7500 [2 per cell]  4 Mn 2.55

Summary:
- Fermi-level density of states: 2.80 states/eV/f.u.
- Energy relative to the lowest polymorph listed for this composition: 0.368 eV per atom
- Raw formation energy: 0.45 eV per atom

---

Record 3
Compound: Mn4CuCl
Source: Alexandria via LeMat-Bulk
Functional: PBE-GGA
Structure: optimized geometry

a b c (Å): 6.8422 6.8422 6.8422
angles (deg): 90.00 90.00 90.00
Last column: nearest neighbours and their distance in Å.
Space group F-43m (No. 216)
One atom of each set of equivalent atoms:
Mn  0.1239  0.1239  0.3761 [16 per cell]  6 Mn 2.40-2.44
Cu  0.2500  0.2500  0.7500 [4 per cell]  12 Mn 2.83, 4 Cl 2.96
Cl  0.0000  0.0000  0.0000 [4 per cell]  12 Mn 2.84, 4 Cu 2.96

Summary:
- Fermi-level density of states: 10.26 states/eV/f.u.
- Raw formation energy: 0.86 eV per atom